1.
PrHoGaRh (GGA-PBE, optimized geometry); space group = Amm2 (38); formation enthalpy at 0 K = -0.680 eV per atom; energy above the most stable polymorph in this dataset = 0.000 eV/f.u.
1.0
3.906 0.000 0.000
0.000 4.336 0.000
0.000 0.000 11.259
Pr Ho Ga Rh
2 2 2 2
Direct
0.000 0.000 0.000
0.000 0.500 0.500
0.500 0.000 0.286
0.500 0.500 0.786
0.500 0.000 0.590
0.500 0.500 0.090
0.000 0.000 0.740
0.000 0.500 0.240

2.
Rb2HgIrO4 (GGA-PBE, optimized geometry); space group = I-4 (82); E_form (uncorrected) = -6.8 eV/f.u.
1.0
6.700 0.000 0.000
0.000 6.700 0.000
0.000 0.000 7.577
Rb Hg Ir O
4 2 2 8
Direct
0.000 0.000 0.000
0.000 0.500 0.250
0.500 0.000 0.750
0.500 0.500 0.500
0.000 0.000 0.500
0.500 0.500 0.000
0.000 0.500 0.750
0.500 0.000 0.250
0.194 0.696 0.750
0.196 0.306 0.750
0.304 0.194 0.250
0.306 0.804 0.250
0.694 0.196 0.250
0.696 0.806 0.250
0.804 0.694 0.750
0.806 0.304 0.750

3.
K3Pb5Au2 (GGA-PBE, optimized geometry); space group = Ibam (72); formation enthalpy at 0 K = -0.169 eV per atom; energy above the most stable polymorph in this dataset = 0.041 eV/f.u.
1.0
-6.393 7.361 3.757
6.393 -7.361 3.757
6.393 7.361 -3.757
K Pb Au
6 10 4
Direct
0.130 0.738 0.867
0.250 0.250 0.000
0.370 0.238 0.608
0.630 0.762 0.392
0.750 0.750 0.000
0.870 0.262 0.133
0.002 0.250 0.752
0.128 0.353 0.481
0.250 0.750 0.500
0.372 0.853 0.225
0.498 0.250 0.248
0.502 0.750 0.752
0.628 0.147 0.775
0.750 0.250 0.500
0.872 0.647 0.519
0.998 0.750 0.248
0.153 0.135 0.288
0.347 0.635 0.982
0.653 0.365 0.018
0.847 0.865 0.712

4.
KNbAl2 (GGA-PBE, optimized geometry); space group = I4_1/amd (141); formation enthalpy at 0 K = 0.909 eV per atom; energy above the most stable polymorph in this dataset = 0.609 eV/f.u.
1.0
5.340 0.000 0.000
0.000 5.340 0.000
0.000 0.000 18.729
K Nb Al
4 4 8
Direct
0.000 0.250 0.375
0.000 0.750 0.625
0.500 0.250 0.125
0.500 0.750 0.875
0.000 0.250 0.875
0.000 0.750 0.125
0.500 0.250 0.625
0.500 0.750 0.375
0.000 0.000 0.000
0.000 0.500 0.000
0.250 0.250 0.750
0.250 0.750 0.250
0.500 0.000 0.500
0.500 0.500 0.500
0.750 0.250 0.750
0.750 0.750 0.250

5.
U4Si6Rh7 (GGA-PBE, optimized geometry); space group = Im-3m (229); E_form (uncorrected) = -11.4 eV/f.u.
1.0
-4.151 4.151 4.151
4.151 -4.151 4.151
4.151 4.151 -4.151
U Si Rh
4 6 7
Direct
0.000 0.000 0.500
0.000 0.500 0.000
0.500 0.000 0.000
0.500 0.500 0.500
0.000 0.318 0.318
0.000 0.682 0.682
0.318 0.000 0.318
0.318 0.318 0.000
0.682 0.000 0.682
0.682 0.682 0.000
0.000 0.000 0.000
0.250 0.500 0.750
0.250 0.750 0.500
0.500 0.250 0.750
0.500 0.750 0.250
0.750 0.250 0.500
0.750 0.500 0.250

6.
BaScTc (GGA-PBE, optimized geometry); space group = F-43m (216); formation enthalpy at 0 K = 1.608 eV per atom; energy above the most stable polymorph in this dataset = 3.580 eV/f.u.
1.0
6.804 0.000 0.000
0.000 6.804 0.000
0.000 0.000 6.804
Ba Sc Tc
4 4 4
Direct
0.000 0.000 0.000
0.000 0.500 0.500
0.500 0.000 0.500
0.500 0.500 0.000
0.250 0.250 0.250
0.250 0.750 0.750
0.750 0.250 0.750
0.750 0.750 0.250
0.250 0.250 0.750
0.250 0.750 0.250
0.750 0.250 0.250
0.750 0.750 0.750

For reference, density by record: 8.33 6.13 7.27 2.31 10.69 5.91 g/cm3.